11
Lattice="2.547 -4.427 0.000 2.547 4.427 0.000 -2.438 0.000 5.930" Properties=species:S:1:pos:R:3 comment="Mn2Ag2GeO6 | Alexandria via LeMat-Bulk | PBE with a Hubbard U | optimized geometry" total_energy_ha_per_atom=-0.2186 n_ef_per_ev_atom=0.020 pbc="T T T"
Mn 2.547 2.942 0.000
Mn 2.547 -2.942 0.000
Ag 1.328 1.530 2.965
Ag 1.328 -1.530 2.965
Ge 2.547 0.000 0.000
O -0.727 1.452 4.924
O 0.911 0.000 1.017
O -0.727 -1.452 4.924
O 3.384 1.452 1.006
O 1.746 0.000 4.913
O 3.384 -1.452 1.006